Record 1
This record from Alexandria via LeMat-Bulk describes a geometry-optimized Tb2Y3Tm9 structure. The functional is PBE.

Cell lengths 6.1705, 10.3800, 13.4062 Å; angles 40.27, 54.91, 55.88 degrees
Sites, in units of the cell vectors:
Tm 0.5949 0.0096 0.3038
Tm 0.1918 0.5117 0.1022
Tm 0.9886 0.1615 0.5054
Y 0.3732 0.6489 0.7287
Y 0.9998 0.0002 0.9998
Tm 0.0115 0.8385 0.4947
Tm 0.0000 0.4999 0.5001
Tb 0.5803 0.6689 0.2997
Y 0.6268 0.3511 0.2713
Tm 0.7411 0.8383 0.9144
Tm 0.2588 0.1617 0.0856
Tb 0.4198 0.3311 0.7003
Tm 0.8082 0.4883 0.8978
Tm 0.4053 0.9904 0.6961

Computed properties:
Fermi-level density of states = 22.327 states/eV/cell
Total DFT energy (no corrections) = -4.80 eV/atom
Energy of formation = 0.123 eV/atom

=====

Record 2
This record from Alexandria via LeMat-Bulk describes a geometry-optimized NaCaAu2 structure. The functional is PBE.

Cell lengths 4.1458, 4.1458, 7.7048 Å; angles 74.39, 74.39, 60.00 degrees
Sites, in units of the cell vectors:
Au 0.7515 0.7515 0.7455
Au 0.2485 0.2485 0.2545
Ca 0.5000 0.5000 0.5000
Na 0.0000 0.0000 0.0000

Computed properties:
Fermi-level density of states = 1.773 states/eV/cell
Total DFT energy (no corrections) = -2.89 eV/atom
Energy of formation = -0.420 eV/atom

=====

Record 3
This record from Alexandria via LeMat-Bulk describes a geometry-optimized TiNbCr2 structure. The functional is PBE.

Cell lengths 6.7840, 6.7840, 5.4769 Å; angles 51.73, 51.73, 90.00 degrees
Sites, in units of the cell vectors:
Ti 0.2500 0.7500 0.5000
Ti 0.5000 0.5000 0.0000
Cr 0.1288 0.6250 0.2500
Cr 0.6212 0.1250 0.2500
Nb 0.7500 0.2500 0.5000
Cr 0.3750 0.3788 0.7500
Cr 0.8750 0.8712 0.7500
Nb 0.0000 0.0000 0.0000

Computed properties:
Fermi-level density of states = 9.490 states/eV/cell
Total DFT energy (no corrections) = -8.68 eV/atom
Energy of formation = 0.628 eV/atom

=====

Record 4
This record from Alexandria via LeMat-Bulk describes a geometry-optimized Rb2PaGeS5 structure. The functional is PBE.

Cell lengths 4.2407, 9.7116, 14.1530 Å; angles 90.02, 90.00, 102.61 degrees
Sites, in units of the cell vectors:
Pa 0.2001 0.4004 0.0290
S 0.6849 0.3700 0.9007
Rb 0.1154 0.2308 0.6785
Pa 0.7999 0.5995 0.5291
Rb 0.8850 0.7700 0.1782
S 0.6705 0.3408 0.5072
S 0.3031 0.6057 0.6458
Rb 0.1254 0.2506 0.3307
S 0.6970 0.3941 0.1457
Ge 0.5598 0.1197 0.9289
S 0.3294 0.6590 0.0070
Ge 0.4400 0.8800 0.4294
S 0.3149 0.6298 0.4009
S 0.4917 0.9833 0.2928
Rb 0.8747 0.7496 0.8303
S 0.5083 0.0167 0.7922
S 0.0530 0.1059 0.0104
S 0.9470 0.8939 0.5109

Computed properties:
Fermi-level density of states = 6.073 states/eV/cell
Total DFT energy (no corrections) = -5.22 eV/atom
Raw formation energy = -1.149 eV/atom

=====

Record 5
This record from Alexandria via LeMat-Bulk describes a geometry-optimized CaTc4Au structure. The functional is PBE.

Cell lengths 5.2743, 5.2743, 5.2743 Å; angles 60.00, 60.00, 60.00 degrees
Sites, in units of the cell vectors:
Tc 0.3757 0.3757 0.3757
Tc 0.3757 0.3757 0.8728
Ca 0.0000 0.0000 0.0000
Tc 0.3757 0.8728 0.3757
Au 0.7500 0.7500 0.7500
Tc 0.8728 0.3757 0.3757

Computed properties:
Fermi-level density of states = 5.889 states/eV/cell
Total DFT energy (no corrections) = -7.44 eV/atom
Energy of formation = 0.352 eV/atom

=====

Record 6
This record from Alexandria via LeMat-Bulk describes a geometry-optimized Cs2Li2NpO4 structure. The functional is PBE.

Cell lengths 3.6048, 7.0413, 6.6583 Å; angles 109.10, 105.71, 90.00 degrees
Sites, in units of the cell vectors:
Li 0.6804 0.9814 0.3609
O 0.8159 0.8914 0.6319
Np 0.0000 0.0000 0.0000
O 0.4814 0.1927 0.9628
Cs 0.8547 0.4175 0.7094
O 0.5186 0.8073 0.0372
O 0.1841 0.1086 0.3681
Cs 0.1453 0.5825 0.2906
Li 0.3196 0.0186 0.6391

Computed properties:
Fermi-level density of states = 7.732 states/eV/cell
Total DFT energy (no corrections) = -6.29 eV/atom
Raw formation energy = -2.037 eV/atom

=====

Record 7
This record from Alexandria via LeMat-Bulk describes a geometry-optimized LaMnN3 structure. The functional is PBE.

Cell lengths 15.5450, 6.7033, 6.7033 Å; angles 145.40, 153.25, 26.75 degrees
Sites, in units of the cell vectors:
N 0.0532 0.6321 0.3679
Mn 0.1200 0.0481 0.9519
N 0.9355 0.0327 0.9673
N 0.5657 0.2608 0.7392
Mn 0.8800 0.9519 0.0481
N 0.9468 0.3679 0.6321
N 0.0645 0.9673 0.0327
La 0.6653 0.9622 0.0378
La 0.3347 0.0378 0.9622
N 0.4343 0.7392 0.2608

Computed properties:
Fermi-level density of states = 2.912 states/eV/cell
Total DFT energy (no corrections) = -8.37 eV/atom
Raw formation energy = -0.552 eV/atom

=====

Record 8
This record from Alexandria via LeMat-Bulk describes a geometry-optimized PmErHg4 structure. The functional is PBE.

Cell lengths 5.9720, 5.9720, 5.9720 Å; angles 60.00, 60.00, 60.00 degrees
Sites, in units of the cell vectors:
Er 0.0000 0.0000 0.0000
Hg 0.6250 0.6250 0.6250
Pm 0.2500 0.2500 0.2500
Hg 0.1250 0.6250 0.6250
Hg 0.6250 0.6250 0.1250
Hg 0.6250 0.1250 0.6250

Computed properties:
Fermi-level density of states = 4.143 states/eV/cell
Total DFT energy (no corrections) = -1.96 eV/atom
Energy of formation = -0.211 eV/atom

=====

Record 9
This record from Alexandria via LeMat-Bulk describes a geometry-optimized HfMgHg2Rh structure. The functional is PBE.

Cell lengths 4.8783, 4.5975, 4.8783 Å; angles 90.00, 90.00, 90.00 degrees
Sites, in units of the cell vectors:
Rh 0.0000 0.5000 0.0000
Hf 0.5000 0.5000 0.5000
Hg 0.0000 0.0000 0.5000
Mg 0.0000 0.0000 0.0000
Hg 0.5000 0.0000 0.0000

Computed properties:
Fermi-level density of states = 3.598 states/eV/cell
Total DFT energy (no corrections) = -3.20 eV/atom
Energy of formation = 0.696 eV/atom

=====

Record 10
This record from Alexandria via LeMat-Bulk describes a geometry-optimized Tb3PrHo3 structure. The functional is PBE.

Cell lengths 6.3236, 6.3236, 6.3236 Å; angles 102.73, 102.73, 102.73 degrees
Sites, in units of the cell vectors:
Ho 0.5612 0.9622 0.9622
Pr 0.1074 0.1074 0.1074
Tb 0.1651 0.5207 0.5207
Tb 0.5207 0.1651 0.5207
Ho 0.9622 0.9622 0.5612
Tb 0.5207 0.5207 0.1651
Ho 0.9622 0.5612 0.9622

Computed properties:
Fermi-level density of states = 10.626 states/eV/cell
Total DFT energy (no corrections) = -4.39 eV/atom
Energy of formation = 0.244 eV/atom

=====

Record 11
This record from Alexandria via LeMat-Bulk describes a geometry-optimized Sr2MgTaGa structure. The functional is PBE.

Cell lengths 6.0255, 5.0240, 6.0255 Å; angles 90.00, 90.00, 90.00 degrees
Sites, in units of the cell vectors:
Mg 0.5000 0.5000 0.5000
Ta 0.0000 0.5000 0.0000
Ga 0.0000 0.0000 0.0000
Sr 0.0000 0.0000 0.5000
Sr 0.5000 0.0000 0.0000

Computed properties:
Fermi-level density of states = 7.529 states/eV/cell
Total DFT energy (no corrections) = -3.32 eV/atom
Energy of formation = 0.643 eV/atom

=====

Record 12
This record from Alexandria via LeMat-Bulk describes a geometry-optimized Ac2Dy3Te8 structure. The functional is PBE.

Cell lengths 7.7086, 8.9467, 9.1531 Å; angles 119.26, 106.15, 90.00 degrees
Sites, in units of the cell vectors:
Ac 0.3308 0.2562 0.5124
Te 0.0917 0.8876 0.7753
Te 0.0622 0.3799 0.7597
Dy 0.0000 0.2573 0.0000
Te 0.4065 0.3561 0.2265
Te 0.5935 0.6439 0.7735
Te 0.5935 0.1297 0.7735
Ac 0.6692 0.7438 0.4876
Te 0.4065 0.8703 0.2265
Te 0.9378 0.6201 0.2403
Dy 0.0000 0.7427 0.0000
Te 0.9083 0.1124 0.2247
Dy 0.5000 0.0000 0.0000

Computed properties:
Fermi-level density of states = 7.542 states/eV/cell
Total DFT energy (no corrections) = -4.97 eV/atom
Raw formation energy = -1.341 eV/atom